# 1
DFT (GGA-PBE) results for an optimized crystal structure of TlCu6O8.

energy relative to the elements, uncorrected = -0.594 eV per atom
V = 13.50 Å³/atom
DOS at the Fermi energy = 10.23 states/eV/f.u.

Cell: 6.591 6.591 6.591 Å, 60.00 60.00 60.00°
Positions (direct):
Tl 0.000 0.000 0.000
Cu 0.000 0.500 0.000
Cu 0.000 0.000 0.500
Cu 0.000 0.500 0.500
Cu 0.500 0.000 0.500
Cu 0.500 0.500 0.000
Cu 0.500 0.000 0.000
O 0.564 0.145 0.145
O 0.855 0.855 0.436
O 0.145 0.145 0.564
O 0.855 0.855 0.855
O 0.145 0.564 0.145
O 0.145 0.145 0.145
O 0.855 0.436 0.855
O 0.436 0.855 0.855



# 2
DFT (GGA-PBE) results for an optimized crystal structure of Tl3Cu5O12.

energy relative to the elements, uncorrected = -0.420 eV per atom
V = 12.19 Å³/atom
DOS at the Fermi energy = 13.12 states/eV/f.u.

Cell: 10.820 10.820 10.820 Å, 109.47 109.47 109.47°
Positions (direct):
Tl 0.750 0.375 0.125
Tl 0.875 0.750 0.125
Tl 0.375 0.750 0.625
Tl 0.250 0.125 0.375
Tl 0.875 0.125 0.250
Tl 0.375 0.625 0.250
Tl 0.625 0.375 0.750
Tl 0.125 0.875 0.750
Tl 0.750 0.875 0.625
Tl 0.625 0.250 0.375
Tl 0.125 0.250 0.875
Tl 0.250 0.625 0.875
Cu 0.125 0.375 0.250
Cu 0.000 0.500 0.000
Cu 0.000 0.000 0.000
Cu 0.375 0.250 0.125
Cu 0.500 0.000 0.500
Cu 0.500 0.500 0.000
Cu 0.125 0.750 0.375
Cu 0.750 0.125 0.875
Cu 0.750 0.625 0.375
Cu 0.375 0.125 0.750
Cu 0.625 0.875 0.250
Cu 0.500 0.500 0.500
Cu 0.500 0.000 0.000
Cu 0.000 0.000 0.500
Cu 0.250 0.375 0.625
Cu 0.250 0.875 0.125
Cu 0.000 0.500 0.500
Cu 0.875 0.250 0.625
Cu 0.625 0.750 0.875
Cu 0.875 0.625 0.750
O 0.694 0.127 0.021
O 0.327 0.521 0.394
O 0.979 0.373 0.306
O 0.521 0.194 0.127
O 0.567 0.694 0.673
O 0.979 0.606 0.173
O 0.327 0.806 0.433
O 0.106 0.933 0.127
O 0.606 0.979 0.673
O 0.694 0.567 0.173
O 0.806 0.479 0.373
O 0.827 0.894 0.021
O 0.127 0.694 0.521
O 0.373 0.394 0.067
O 0.067 0.894 0.373
O 0.433 0.127 0.606
O 0.067 0.173 0.194
O 0.479 0.673 0.106
O 0.827 0.933 0.306
O 0.127 0.433 0.106
O 0.373 0.979 0.806
O 0.606 0.627 0.433
O 0.894 0.827 0.521
O 0.806 0.327 0.933
O 0.394 0.373 0.567
O 0.106 0.173 0.479
O 0.194 0.673 0.067
O 0.173 0.067 0.694
O 0.627 0.021 0.194
O 0.873 0.567 0.894
O 0.521 0.327 0.894
O 0.567 0.873 0.394
O 0.933 0.827 0.806
O 0.933 0.106 0.627
O 0.873 0.306 0.479
O 0.173 0.106 0.979
O 0.627 0.606 0.933
O 0.394 0.021 0.327
O 0.306 0.433 0.827
O 0.194 0.521 0.627
O 0.894 0.067 0.873
O 0.673 0.194 0.567
O 0.479 0.806 0.873
O 0.021 0.394 0.827
O 0.433 0.306 0.327
O 0.021 0.627 0.694
O 0.673 0.479 0.606
O 0.306 0.873 0.979



# 3
DFT (GGA-PBE) results for an optimized crystal structure of Tl2Cu2O7.

energy relative to the elements, uncorrected = -0.368 eV per atom
V = 11.60 Å³/atom
DOS at the Fermi energy = 3.50 states/eV/f.u.

Cell: 7.120 7.120 7.120 Å, 60.00 60.00 60.00°
Site moments in Bohr magnetons follow the coordinates.
Positions (direct):
Tl 0.625 0.625 0.625  -0.01
Tl 0.625 0.625 0.125  -0.01
Tl 0.625 0.125 0.625  -0.01
Tl 0.125 0.625 0.625  -0.01
Cu 0.625 0.125 0.125  0.33
Cu 0.125 0.625 0.125  0.33
Cu 0.125 0.125 0.625  0.33
Cu 0.125 0.125 0.125  0.33
O 0.204 0.204 0.796  0.19
O 0.204 0.796 0.204  0.19
O 0.454 0.046 0.454  0.19
O 0.454 0.454 0.046  0.19
O 0.750 0.750 0.750  0.00
O 0.796 0.204 0.204  0.19
O 0.454 0.046 0.046  0.19
O 0.046 0.454 0.454  0.19
O 0.046 0.046 0.454  0.19
O 0.046 0.454 0.046  0.19
O 0.204 0.796 0.796  0.19
O 0.500 0.500 0.500  0.00
O 0.796 0.204 0.796  0.19
O 0.796 0.796 0.204  0.19



# 4
DFT (GGA-PBE) results for an optimized crystal structure of Tl3Cu2O4.

energy relative to the elements, uncorrected = -0.584 eV per atom
V = 18.30 Å³/atom
DOS at the Fermi energy = 3.26 states/eV/f.u.

Cell: 5.560 9.274 9.274 Å, 46.57 106.90 106.90°
Positions (direct):
Tl 0.899 0.969 0.301
Tl 0.601 0.699 0.031
Tl 0.101 0.031 0.699
Tl 0.399 0.301 0.969
Tl 0.250 0.673 0.327
Tl 0.750 0.327 0.673
Cu 0.541 0.204 0.420
Cu 0.959 0.580 0.796
Cu 0.459 0.796 0.580
Cu 0.041 0.420 0.204
O 0.719 0.018 0.481
O 0.781 0.519 0.982
O 0.281 0.982 0.519
O 0.219 0.481 0.018
O 0.337 0.356 0.396
O 0.163 0.604 0.644
O 0.663 0.644 0.604
O 0.837 0.396 0.356